# 1
! Zr2ZnSn2 | the Open Quantum Materials Database | PBE | optimized geometry; values from VASP
! SG = I4/mmm
! mass density = 6.86 g cm⁻³
! crystal system = tetragonal
! final energy = -25.8 eV per cell
&SYSTEM
  ibrav = 0, nat = 5, ntyp = 3
/
ATOMIC_SPECIES
Zn 65.41 Zn.upf
Zr 91.22 Zr.upf
Sn 118.71 Sn.upf
CELL_PARAMETERS angstrom
-0.021 -7.482 0.262
-4.011 -5.071 3.773
0.065 6.206 -4.186
ATOMIC_POSITIONS angstrom
Zn 0.000 0.000 0.000
Zr -2.391 -7.445 2.393
Zr -1.641 -5.109 1.642
Sn -0.986 -3.776 -0.953
Sn -2.981 -2.571 0.802



# 2
! ZrZnSn2 | the Open Quantum Materials Database | PBE | optimized geometry; values from VASP
! SG = F-43m
! mass density = 7.09 g cm⁻³
! crystal system = cubic
! final energy = -17.1 eV per cell
&SYSTEM
  ibrav = 0, nat = 4, ntyp = 3
/
ATOMIC_SPECIES
Sn 118.71 Sn.upf
Zr 91.22 Zr.upf
Zn 65.41 Zn.upf
CELL_PARAMETERS angstrom
3.478 0.182 3.688
-0.352 3.507 3.647
-1.238 -1.370 4.725
ATOMIC_POSITIONS angstrom
Sn 0.472 0.580 3.015
Zr 0.000 0.000 0.000
Zn 1.416 1.740 9.045
Sn 0.944 1.160 6.030



# 3
! ZrSn | the Open Quantum Materials Database | PBE | optimized geometry; values from VASP
! SG = Pnma
! mass density = 7.72 g cm⁻³
! crystal system = orthorhombic
! final energy = -53.4 eV per cell
&SYSTEM
  ibrav = 0, nat = 8, ntyp = 2
/
ATOMIC_SPECIES
Zr 91.22 Zr.upf
Sn 118.71 Sn.upf
CELL_PARAMETERS angstrom
-0.910 -0.395 -5.688
0.497 -5.928 0.332
-5.164 -0.385 0.853
ATOMIC_POSITIONS angstrom
Zr -2.619 -3.275 -1.185
Zr -2.949 -4.964 -3.946
Zr 0.477 -5.932 0.213
Sn -0.107 -4.659 -2.746
Sn 0.224 -2.970 0.015
Sn -3.192 -1.997 -4.079
Zr -0.350 -1.692 -2.879
Sn -2.365 -6.237 -0.987



# 4
! ZrSn | the Open Quantum Materials Database | PBE | optimized geometry; values from VASP
! SG = Pmmn
! mass density = 7.53 g cm⁻³
! crystal system = orthorhombic
! final energy = -103.6 eV per cell
&SYSTEM
  ibrav = 0, nat = 16, ntyp = 2
/
ATOMIC_SPECIES
Sn 118.71 Sn.upf
Zr 91.22 Zr.upf
CELL_PARAMETERS angstrom
5.576 0.000 0.000
0.000 12.538 0.000
0.000 0.000 5.296
ATOMIC_POSITIONS angstrom
Sn 2.775 10.934 0.000
Sn 0.051 12.532 0.000
Zr 0.068 3.134 0.000
Zr 2.826 1.556 0.000
Zr 1.790 9.403 2.648
Zr 5.493 9.403 0.000
Sn 1.808 6.263 2.648
Zr 4.608 7.825 2.648
Sn 2.775 7.873 0.000
Sn 0.051 6.275 0.000
Zr 4.608 10.982 2.648
Zr 1.942 3.134 2.648
Sn 4.659 4.665 2.648
Sn 4.659 1.604 2.648
Sn 1.808 0.006 2.648
Zr 2.826 4.713 0.000



# 5
! Zr3Sn | the Open Quantum Materials Database | PBE | optimized geometry; values from VASP
! SG = Pmmn
! mass density = 7.25 g cm⁻³
! crystal system = orthorhombic
! final energy = -62.1 eV per cell
&SYSTEM
  ibrav = 0, nat = 8, ntyp = 2
/
ATOMIC_SPECIES
Zr 91.22 Zr.upf
Sn 118.71 Sn.upf
CELL_PARAMETERS angstrom
-1.341 -0.569 5.518
0.158 -6.083 -0.589
5.005 0.012 1.217
ATOMIC_POSITIONS angstrom
Zr 0.040 -3.058 -0.133
Sn 2.137 -3.224 2.144
Zr 1.527 -5.022 4.671
Sn -0.002 -0.001 0.010
Zr -0.653 -1.816 2.705
Zr -0.575 -4.856 2.411
Zr 2.095 -0.167 2.286
Zr 1.448 -1.978 4.966



# 6
! ZrSn | the Open Quantum Materials Database | PBE | optimized geometry; values from VASP
! SG = Pmmn
! mass density = 7.23 g cm⁻³
! crystal system = orthorhombic
! final energy = -51.2 eV per cell
&SYSTEM
  ibrav = 0, nat = 8, ntyp = 2
/
ATOMIC_SPECIES
Zr 91.22 Zr.upf
Sn 118.71 Sn.upf
CELL_PARAMETERS angstrom
12.055 0.000 0.000
0.000 3.109 0.000
0.000 0.000 5.148
ATOMIC_POSITIONS angstrom
Zr 11.063 1.555 2.574
Zr 12.042 0.000 0.000
Sn 2.722 1.555 0.000
Zr 9.088 1.555 0.000
Sn 8.329 0.000 2.574
Sn 4.786 1.555 2.574
Sn 6.265 0.000 0.000
Zr 1.963 0.000 2.574



Look up the mass density of the first one. 6.86 g cm⁻³